Entry from Alexandria via LeMat-Bulk: a relaxed structure of Mn2Nb2Ni15 (GGA-PBE).

```
Mn2Nb2Ni15
1.0
5.9693 -0.5189 1.4589
1.0210 5.9042 1.4589
-0.6736 -0.5189 6.1080
Mn Nb Ni
2 2 15
Cartesian
5.6553 4.3567 8.0806 Mn
0.6615 0.5096 0.9452 Mn
4.1524 3.1990 5.9333 Nb
2.1643 1.6674 3.0925 Nb
0.5105 2.9521 0.7295 Ni
-0.3368 -0.2595 3.0540 Ni
2.9847 -0.2595 0.7295 Ni
1.4000 -0.5189 4.6568 Ni
4.4247 1.4860 1.4589 Ni
0.4921 3.8993 2.9101 Ni
2.5656 3.8993 1.4589 Ni
-0.1446 1.4860 4.6568 Ni
3.8958 -0.5189 2.9101 Ni
2.6951 4.5755 3.8510 Ni
1.8675 1.4387 6.1213 Ni
5.1116 1.4387 3.8510 Ni
3.6217 0.2909 5.1749 Ni
4.4492 3.4276 2.9045 Ni
1.2052 3.4276 5.1749 Ni
```

Output
- total DFT energy (no corrections) (eV per cell) = -125.7
- total moment (μB per formula unit) = 10.65
- distance to the lowest polymorph of the same formula (eV/atom) = 0.0000
- calculated formation energy (eV per atom) = -0.027


Entry from Alexandria via LeMat-Bulk: a relaxed structure of Mn2NbNi6 (GGA-PBE).

```
Mn2NbNi6
1.0
-2.1597 4.7454 2.1083
-4.1092 -0.6907 -2.6548
0.3389 -1.8716 4.5599
Mn Nb Ni
2 1 6
Cartesian
-3.4354 0.6929 0.5397 Mn
-2.4947 1.4902 3.4737 Mn
-1.0798 2.3727 1.0541 Nb
-4.9631 2.1592 2.5229 Ni
-5.1236 3.0458 0.3631 Ni
-2.7528 -1.1898 2.3929 Ni
-3.1772 3.3729 1.6205 Ni
-0.8064 -0.8626 3.6503 Ni
-0.9670 0.0239 1.4905 Ni
```

Output
- total DFT energy (no corrections) (eV per cell) = -62.2
- total moment (μB per formula unit) = 8.92
- calculated formation energy (eV per atom) = 0.097


Entry from Alexandria via LeMat-Bulk: a relaxed structure of Mn4NbNi (GGA-PBE).

```
Mn4NbNi
1.0
4.6971 0.0000 0.0000
2.3485 4.0678 0.0000
2.3485 1.3559 3.8352
Ni Nb Mn
1 1 4
Cartesian
0.0000 0.0000 0.0000 Ni
2.3485 1.3559 0.9588 Nb
4.6971 2.7119 0.4508 Mn
4.6971 1.3290 2.4065 Mn
5.8947 3.4033 2.4065 Mn
3.4995 3.4033 2.4065 Mn
```

Output
- total DFT energy (no corrections) (eV per cell) = -52.6
- total moment (μB per formula unit) = 0.01
- calculated formation energy (eV per atom) = -0.004


Entry from Alexandria via LeMat-Bulk: a relaxed structure of MnNbNi14 (GGA-PBE).

```
MnNbNi14
1.0
5.0681 -0.0108 0.0000
0.0107 5.0681 0.0000
0.0000 0.0000 7.1108
Mn Nb Ni
1 1 14
Cartesian
1.9046 1.8965 3.5554 Mn
4.4440 4.4251 3.5554 Nb
4.4440 4.4251 0.0000 Ni
1.9045 1.8965 0.0000 Ni
4.4386 1.8911 3.5554 Ni
4.4386 1.8911 0.0000 Ni
1.9099 4.4305 3.5554 Ni
1.9099 4.4305 0.0000 Ni
3.1562 0.6396 1.7333 Ni
3.1562 0.6396 5.3775 Ni
0.6530 3.1534 1.7333 Ni
0.6530 3.1534 5.3775 Ni
3.1613 3.1479 1.7333 Ni
3.1613 3.1479 5.3775 Ni
0.6478 0.6451 1.7333 Ni
0.6478 0.6451 5.3775 Ni
```

Output
- total DFT energy (no corrections) (eV per cell) = -101.3
- total moment (μB per formula unit) = 9.07
- calculated formation energy (eV per atom) = -0.068


Entry from Alexandria via LeMat-Bulk: a relaxed structure of MnNbNi2 (GGA-PBE).

```
MnNbNi2
1.0
-1.2286 1.7279 1.8326
-0.1842 -2.0952 1.8520
6.0869 1.6756 2.5010
Ni Nb Mn
2 1 1
Cartesian
4.7412 1.3052 1.9481 Ni
1.3457 0.3704 0.5529 Ni
2.3370 0.6542 3.0928 Nb
-0.7064 -0.1836 1.8423 Mn
```

Output
- total DFT energy (no corrections) (eV per cell) = -31.2
- total moment (μB per formula unit) = 4.41
- distance to the lowest polymorph of the same formula (eV/atom) = 0.0762
- calculated formation energy (eV per atom) = -0.096


Entry from Alexandria via LeMat-Bulk: a relaxed structure of Mn2NbNi2 (GGA-PBE).

```
Mn2NbNi2
1.0
-4.9194 -4.9935 -0.0114
0.2996 -0.2791 -6.9977
1.7920 -1.7657 0.1472
Ni Nb Mn
4 2 4
Cartesian
-1.6014 -2.1383 -6.1558 Ni
-4.1385 -4.5630 -4.3551 Ni
-3.0184 -3.1344 -0.8533 Ni
-0.4814 -0.7097 -2.6540 Ni
0.0000 0.0000 0.0000 Nb
-2.3099 -2.6363 -3.5046 Nb
0.2436 -1.9380 -4.6424 Mn
-2.1704 -4.4774 -5.7167 Mn
-3.0714 -5.1004 -2.2196 Mn
-0.6575 -2.5610 -1.1453 Mn
```

Output
- total DFT energy (no corrections) (eV per cell) = -78.5
- total moment (μB per formula unit) = 0.00
- distance to the lowest polymorph of the same formula (eV/atom) = 0.0338
- calculated formation energy (eV per atom) = 0.143


Entry from Alexandria via LeMat-Bulk: a relaxed structure of Mn2Nb2Ni15 (GGA-PBE).

```
Mn2Nb2Ni15
1.0
6.2598 0.0317 0.0282
0.8435 6.2028 0.0282
0.8435 0.7403 6.1585
Mn Nb Ni
2 2 15
Cartesian
2.8438 2.4959 2.2240 Mn
5.1031 4.4789 3.9910 Mn
0.8448 0.7415 0.6607 Nb
7.1021 6.2334 5.5543 Nb
3.1299 0.0158 0.0141 Ni
0.4218 0.3702 3.0793 Ni
0.4218 3.1014 0.0141 Ni
0.8435 4.4914 1.9489 Ni
4.5628 1.9652 0.0282 Ni
2.5405 0.5183 4.2378 Ni
2.5405 4.2693 0.0282 Ni
4.5628 0.2537 1.9489 Ni
0.8435 2.4518 4.2378 Ni
2.1448 4.5340 4.0400 Ni
4.7739 4.1900 1.0644 Ni
4.7739 1.5385 4.0400 Ni
5.8021 2.4409 2.1749 Ni
3.1730 2.7849 5.1506 Ni
3.1730 5.4364 2.1749 Ni
```

Output
- total DFT energy (no corrections) (eV per cell) = -124.3
- total moment (μB per formula unit) = 12.24
- distance to the lowest polymorph of the same formula (eV/atom) = 0.0754
- calculated formation energy (eV per atom) = 0.049


Entry from Alexandria via LeMat-Bulk: a relaxed structure of Mn3NbNi (GGA-PBE).

```
Mn3NbNi
1.0
-0.1089 -3.0089 -3.4845
4.5648 0.3820 -0.4725
0.5978 -3.4652 2.9735
Ni Nb Mn
1 1 3
Cartesian
2.5268 -3.0460 -0.4918 Ni
0.0000 0.0000 0.0000 Nb
2.2824 0.1910 -0.2363 Mn
0.2989 -1.7326 1.4868 Mn
-0.0545 -1.5044 -1.7422 Mn
```

Output
- total DFT energy (no corrections) (eV per cell) = -35.5
- total moment (μB per formula unit) = 8.61
- distance to the lowest polymorph of the same formula (eV/atom) = 0.6895
- calculated formation energy (eV per atom) = 1.567


Which of these has the lowest total DFT energy (no corrections)?
number 1


Which of these has the highest total DFT energy (no corrections)?
MnNbNi2


Which of these has the highest total DFT energy (no corrections)?
MnNbNi2